# 1
Nd4Dy4Tm | PBE | optimized geometry

a = 5.0683 Å, b = 8.0497 Å, c = 8.0497 Å
α = 84.31°, β = 71.65°, γ = 71.65°
Fractional positions:
Nd  0.6662  0.6675  0.0001
Nd  0.3338  0.3325  0.9999
Nd  0.6663  0.9999  0.6675
Nd  0.3337  0.0001  0.3325
Dy  0.6656  0.3344  0.3344
Dy  0.3344  0.6656  0.6656
Dy  0.0000  0.6656  0.3344
Dy  0.0000  0.3344  0.6656
Tm  0.0000  0.0000  0.0000

Calculated values
Uncorrected energy ... -41.79 eV per cell
Space-group type ... I4/mmm (139)

***

# 2
Nd5Dy4Tm3 | PBE | optimized geometry

a = 5.4605 Å, b = 6.3492 Å, c = 13.2425 Å
α = 75.85°, β = 78.10°, γ = 64.53°
Fractional positions:
Nd  0.6386  0.6874  0.0355
Nd  0.5000  0.5000  0.5000
Nd  0.1704  0.4224  0.2368
Nd  0.8296  0.5776  0.7632
Nd  0.3614  0.3126  0.9645
Dy  0.0894  0.9511  0.8702
Dy  0.2314  0.9333  0.6040
Dy  0.7686  0.0667  0.3960
Dy  0.9106  0.0489  0.1298
Tm  0.5460  0.1910  0.7169
Tm  0.0000  0.5000  0.5000
Tm  0.4540  0.8090  0.2831

Calculated values
Uncorrected energy ... -52.93 eV per cell
Space-group type ... C2/m (12)

***

# 3
Nd12Dy5Tm2 | PBE | optimized geometry

a = 10.6634 Å, b = 9.2749 Å, c = 8.0879 Å
α = 86.65°, β = 90.00°, γ = 125.09°
Fractional positions:
Nd  0.8705  0.7409  0.1035
Nd  0.0407  0.6311  0.7923
Nd  0.5903  0.6311  0.7923
Nd  0.1661  0.7871  0.3847
Nd  0.6210  0.7871  0.3847
Nd  0.4451  0.8902  0.7118
Nd  0.5549  0.1098  0.2882
Nd  0.8339  0.2129  0.6153
Nd  0.3790  0.2129  0.6153
Nd  0.9593  0.3689  0.2077
Nd  0.4097  0.3689  0.2077
Nd  0.1295  0.2591  0.8965
Dy  0.2414  0.4828  0.5135
Dy  0.3436  0.6872  0.0957
Dy  0.0000  0.0000  0.5000
Dy  0.6564  0.3128  0.9043
Dy  0.7586  0.5172  0.4865
Tm  0.7284  0.0000  0.0000
Tm  0.2716  0.0000  0.0000

Calculated values
Uncorrected energy ... -86.71 eV per cell
Space-group type ... C2/m (12)

***

# 4
Nd5Dy2Tm12 | PBE | optimized geometry

a = 6.9942 Å, b = 9.7528 Å, c = 10.3302 Å
α = 70.34°, β = 90.00°, γ = 111.01°
Fractional positions:
Nd  0.1877  0.3753  0.8186
Nd  0.3182  0.6364  0.2099
Nd  0.0000  0.0000  0.5000
Nd  0.6818  0.3636  0.7901
Nd  0.8123  0.6247  0.1814
Dy  0.7285  0.0000  0.0000
Dy  0.2715  0.0000  0.0000
Tm  0.9749  0.9498  0.2470
Tm  0.0893  0.6847  0.8681
Tm  0.5953  0.6847  0.8681
Tm  0.0901  0.6745  0.5215
Tm  0.5844  0.6745  0.5215
Tm  0.4978  0.9957  0.6744
Tm  0.5022  0.0043  0.3256
Tm  0.9099  0.3255  0.4785
Tm  0.4156  0.3255  0.4785
Tm  0.9107  0.3153  0.1319
Tm  0.4047  0.3153  0.1319
Tm  0.0251  0.0502  0.7530

Calculated values
Uncorrected energy ... -83.27 eV per cell
Space-group type ... C2/m (12)

***

# 5
Nd5Dy5Tm2 | PBE | optimized geometry

a = 5.0752 Å, b = 10.7609 Å, c = 8.0408 Å
α = 98.65°, β = 71.60°, γ = 76.36°
Fractional positions:
Nd  0.6656  0.2525  0.4162
Nd  0.9975  0.2520  0.7530
Nd  0.0025  0.7480  0.2470
Nd  0.3344  0.7475  0.5838
Nd  0.0000  0.0000  0.0000
Dy  0.0000  0.5000  0.5000
Dy  0.6686  0.7467  0.9162
Dy  0.3329  0.0002  0.3340
Dy  0.6671  0.9998  0.6660
Dy  0.3314  0.2533  0.0838
Tm  0.3323  0.5006  0.8349
Tm  0.6677  0.4994  0.1651

Calculated values
Uncorrected energy ... -55.56 eV per cell
Space-group type ... C2/m (12)

***

# 6
Nd4Dy5Tm4 | PBE | optimized geometry

a = 5.0373 Å, b = 9.4470 Å, c = 9.4470 Å
α = 85.92°, β = 74.54°, γ = 74.54°
Fractional positions:
Nd  0.9216  0.4602  0.6965
Nd  0.6181  0.3035  0.4602
Nd  0.0784  0.5398  0.3035
Nd  0.3819  0.6965  0.5398
Dy  0.6894  0.8504  0.7708
Dy  0.3106  0.1496  0.2292
Dy  0.0000  0.0000  0.0000
Dy  0.5398  0.7708  0.1496
Dy  0.4602  0.2292  0.8504
Tm  0.7703  0.3831  0.0764
Tm  0.2297  0.6169  0.9236
Tm  0.8466  0.9236  0.3831
Tm  0.1534  0.0764  0.6169

Calculated values
Uncorrected energy ... -59.69 eV per cell
Space-group type ... I4/m (87)

***

# 7
Nd2Dy9Tm | PBE | optimized geometry

a = 5.0361 Å, b = 5.0361 Å, c = 15.0976 Å
α = 90.00°, β = 90.00°, γ = 90.00°
Fractional positions:
Nd  0.0000  0.0000  0.3323
Nd  0.0000  0.0000  0.6677
Dy  0.5000  0.5000  0.0000
Dy  0.5000  0.5000  0.3316
Dy  0.5000  0.5000  0.6684
Dy  0.5000  0.0000  0.1640
Dy  0.5000  0.0000  0.5000
Dy  0.5000  0.0000  0.8360
Dy  0.0000  0.5000  0.1640
Dy  0.0000  0.5000  0.5000
Dy  0.0000  0.5000  0.8360
Tm  0.0000  0.0000  0.0000

Calculated values
Uncorrected energy ... -55.16 eV per cell
Space-group type ... P4/mmm (123)

***

# 8
NdDy5Tm5 | PBE | optimized geometry

a = 6.0053 Å, b = 6.0053 Å, c = 11.6228 Å
α = 90.00°, β = 90.00°, γ = 120.00°
Fractional positions:
Nd  0.3333  0.6667  0.0000
Dy  0.6667  0.3333  0.1560
Dy  0.6667  0.3333  0.8440
Dy  0.3333  0.6667  0.3222
Dy  0.3333  0.6667  0.6778
Dy  0.0000  0.0000  0.0000
Tm  0.3336  0.1668  0.5000
Tm  0.0000  0.0000  0.2655
Tm  0.8332  0.6664  0.5000
Tm  0.8332  0.1668  0.5000
Tm  0.0000  0.0000  0.7345

Calculated values
Uncorrected energy ... -46.65 eV per cell
Space-group type ... P-6m2 (187)

***

# 9
Nd7Dy6Tm16 | PBE | optimized geometry

a = 10.9948 Å, b = 10.9948 Å, c = 10.9948 Å
α = 60.00°, β = 60.00°, γ = 60.00°
Fractional positions:
Nd  0.0000  0.0000  0.0000
Nd  0.5000  0.0000  0.5000
Nd  0.0000  0.5000  0.0000
Nd  0.0000  0.5000  0.5000
Nd  0.5000  0.0000  0.0000
Nd  0.0000  0.0000  0.5000
Nd  0.5000  0.5000  0.0000
Dy  0.2254  0.7746  0.2254
Dy  0.7746  0.2254  0.7746
Dy  0.7746  0.2254  0.2254
Dy  0.2254  0.7746  0.7746
Dy  0.7746  0.7746  0.2254
Dy  0.2254  0.2254  0.7746
Tm  0.8510  0.8510  0.4471
Tm  0.8510  0.8510  0.8510
Tm  0.8510  0.4471  0.8510
Tm  0.4471  0.8510  0.8510
Tm  0.1490  0.1490  0.1490
Tm  0.1490  0.1490  0.5529
Tm  0.1490  0.5529  0.1490
Tm  0.5529  0.1490  0.1490
Tm  0.6133  0.6133  0.1601
Tm  0.6133  0.6133  0.6133
Tm  0.6133  0.1601  0.6133
Tm  0.1601  0.6133  0.6133
Tm  0.3867  0.3867  0.3867
Tm  0.3867  0.3867  0.8399
Tm  0.3867  0.8399  0.3867
Tm  0.8399  0.3867  0.3867

Calculated values
Uncorrected energy ... -126.83 eV per cell
Space-group type ... Fm-3m (225)

***

# 10
Nd8Dy6Tm | PBE | optimized geometry

a = 8.7548 Å, b = 8.7548 Å, c = 8.7548 Å
α = 63.00°, β = 63.00°, γ = 63.00°
Fractional positions:
Nd  0.1126  0.7172  0.7512
Nd  0.2488  0.8874  0.2828
Nd  0.2828  0.2488  0.8874
Nd  0.5780  0.5780  0.5780
Nd  0.4220  0.4220  0.4220
Nd  0.7172  0.7512  0.1126
Nd  0.7512  0.1126  0.7172
Nd  0.8874  0.2828  0.2488
Dy  0.9030  0.4600  0.7545
Dy  0.2455  0.0970  0.5400
Dy  0.5400  0.2455  0.0970
Dy  0.4600  0.7545  0.9030
Dy  0.7545  0.9030  0.4600
Dy  0.0970  0.5400  0.2455
Tm  0.0000  0.0000  0.0000

Calculated values
Uncorrected energy ... -68.40 eV per cell
Space-group type ... R-3 (148)

***

# 11
Nd3DyTm | PBE | optimized geometry

a = 3.5782 Å, b = 9.8731 Å, c = 12.3434 Å
α = 110.21°, β = 90.00°, γ = 122.93°
Fractional positions:
Nd  0.9707  0.1474  0.4466
Nd  0.7803  0.3532  0.0492
Nd  0.8595  0.0721  0.1508
Nd  0.0293  0.8526  0.5534
Nd  0.1405  0.9279  0.8492
Nd  0.2197  0.6468  0.9508
Dy  0.0510  0.5350  0.6491
Dy  0.9490  0.4650  0.3509
Tm  0.1243  0.2500  0.7621
Tm  0.8757  0.7500  0.2379

Calculated values
Uncorrected energy ... -46.30 eV per cell
Space-group type ... P-1 (2)

***

# 12
Nd3Dy7Tm | PBE | optimized geometry

a = 8.6799 Å, b = 7.0715 Å, c = 7.0715 Å
α = 120.00°, β = 90.00°, γ = 90.00°
Fractional positions:
Nd  0.7828  0.4999  0.5001
Nd  0.7828  0.4999  0.9998
Nd  0.7828  0.0002  0.5001
Dy  0.1211  0.1676  0.8324
Dy  0.1211  0.1676  0.3351
Dy  0.1226  0.6667  0.3333
Dy  0.4458  0.8325  0.1675
Dy  0.4458  0.3350  0.1675
Dy  0.4458  0.8325  0.6650
Dy  0.1211  0.6649  0.8324
Tm  0.4434  0.3333  0.6667

Calculated values
Uncorrected energy ... -49.08 eV per cell
Space-group type ... P3m1 (156)

***

# 13
Nd7Dy2Tm3 | PBE | optimized geometry

a = 5.5050 Å, b = 6.2832 Å, c = 12.3187 Å
α = 90.03°, β = 90.00°, γ = 90.00°
Fractional positions:
Nd  0.5000  0.2442  0.4556
Nd  0.5000  0.7558  0.5444
Nd  0.0000  0.4447  0.1836
Nd  0.0000  0.0000  0.0000
Nd  0.0000  0.5553  0.8164
Nd  0.5000  0.9108  0.8278
Nd  0.5000  0.0892  0.1722
Dy  0.5000  0.6130  0.2764
Dy  0.5000  0.3870  0.7236
Tm  0.5000  0.5000  0.0000
Tm  0.0000  0.9346  0.3441
Tm  0.0000  0.0654  0.6559

Calculated values
Uncorrected energy ... -52.58 eV per cell
Space-group type ... P2/m (10)

***

# 14
Nd2Dy12Tm | PBE | optimized geometry

a = 6.6628 Å, b = 6.6628 Å, c = 24.7027 Å
α = 90.00°, β = 90.00°, γ = 116.02°
Fractional positions:
Nd  0.5000  0.0000  0.2644
Nd  0.0000  0.5000  0.2696
Nd  0.0000  0.5000  0.7356
Nd  0.5000  0.0000  0.7304
Dy  0.5000  0.5000  0.8022
Dy  0.0000  0.0000  0.8022
Dy  0.7503  0.7497  0.9236
Dy  0.2506  0.7506  0.8752
Dy  0.0000  0.0000  0.3271
Dy  0.2494  0.7494  0.1248
Dy  0.7617  0.2617  0.5843
Dy  0.5000  0.5000  0.3271
Dy  0.2497  0.2503  0.9236
Dy  0.7497  0.7503  0.0764
Dy  0.2641  0.2359  0.5613
Dy  0.7383  0.2383  0.4157
Dy  0.0000  0.0000  0.6729
Dy  0.2359  0.2641  0.4387
Dy  0.2503  0.2497  0.0764
Dy  0.7641  0.7359  0.4387
Dy  0.7359  0.7641  0.5613
Dy  0.0000  0.0000  0.1978
Dy  0.2382  0.7382  0.5843
Dy  0.5000  0.5000  0.6729
Dy  0.7494  0.2494  0.8752
Dy  0.5000  0.5000  0.1978
Dy  0.2618  0.7618  0.4157
Dy  0.7506  0.2506  0.1248
Tm  0.5000  0.0000  0.0000
Tm  0.0000  0.5000  0.0000

Calculated values
Uncorrected energy ... -133.57 eV per cell
Space-group type ... Cmme (67)

***

# 15
Nd2Dy5Tm4 | PBE | optimized geometry

a = 3.4768 Å, b = 8.9745 Å, c = 12.5613 Å
α = 110.93°, β = 97.95°, γ = 90.00°
Fractional positions:
Nd  0.2674  0.2674  0.5348
Nd  0.7326  0.7326  0.4652
Dy  0.8592  0.0545  0.7183
Dy  0.8592  0.6638  0.7183
Dy  0.1408  0.3362  0.2817
Dy  0.1408  0.9455  0.2817
Dy  0.5000  0.0000  0.0000
Tm  0.0000  0.3134  0.0000
Tm  0.5968  0.5968  0.1935
Tm  0.0000  0.6866  0.0000
Tm  0.4032  0.4032  0.8065

Calculated values
Uncorrected energy ... -48.30 eV per cell
Space-group type ... Immm (71)

***

# 16
NdDyTm | PBE | optimized geometry

a = 5.7154 Å, b = 3.6298 Å, c = 10.8449 Å
α = 119.89°, β = 90.01°, γ = 90.00°
Fractional positions:
Nd  0.9377  0.0933  0.0455
Nd  0.4375  0.7584  0.4878
Dy  0.9376  0.0928  0.7109
Dy  0.4375  0.7589  0.8224
Tm  0.4376  0.7558  0.1544
Tm  0.9374  0.0959  0.3789

Calculated values
Uncorrected energy ... -27.60 eV per cell
Space-group type ... P2_1/m (11)

***

# 17
Nd8DyTm4 | PBE | optimized geometry

a = 7.2480 Å, b = 7.2480 Å, c = 10.5356 Å
α = 90.00°, β = 110.12°, γ = 120.00°
Fractional positions:
Nd  0.5747  0.7874  0.3621
Nd  0.4253  0.2126  0.6379
Nd  0.4973  0.2487  0.2888
Nd  0.9598  0.2085  0.7112
Nd  0.5027  0.7513  0.7112
Nd  0.9598  0.7513  0.7112
Nd  0.0402  0.2487  0.2888
Nd  0.0402  0.7915  0.2888
Dy  0.0000  0.5000  0.5000
Tm  0.0000  0.0000  0.0000
Tm  0.0000  0.5000  0.0000
Tm  0.5000  0.5000  0.0000
Tm  0.5000  0.0000  0.0000

Calculated values
Uncorrected energy ... -58.09 eV per cell
Space-group type ... R-3m (166)

***

# 18
NdDy6Tm2 | PBE | optimized geometry

a = 6.0357 Å, b = 7.3957 Å, c = 7.3957 Å
α = 60.01°, β = 90.00°, γ = 90.00°
Fractional positions:
Nd  0.0000  0.0000  0.0000
Dy  0.2956  0.3762  0.8126
Dy  0.2949  0.8124  0.8124
Dy  0.2956  0.8126  0.3762
Dy  0.7044  0.6238  0.1874
Dy  0.7051  0.1876  0.1876
Dy  0.7044  0.1874  0.6238
Tm  0.7871  0.6659  0.6659
Tm  0.2129  0.3341  0.3341

Calculated values
Uncorrected energy ... -39.18 eV per cell
Space-group type ... C2/m (12)

***

# 19
Nd3Dy2Tm2 | PBE | optimized geometry

a = 3.5147 Å, b = 8.5357 Å, c = 8.9557 Å
α = 118.04°, β = 101.32°, γ = 90.00°
Fractional positions:
Nd  0.0000  0.5000  0.0000
Nd  0.2135  0.7969  0.4271
Nd  0.7865  0.2031  0.5729
Dy  0.5646  0.9108  0.1292
Dy  0.4354  0.0892  0.8708
Tm  0.8564  0.6768  0.7128
Tm  0.1436  0.3232  0.2872

Calculated values
Uncorrected energy ... -31.64 eV per cell
Space-group type ... C2/m (12)